Entry 1:
Computed, not measured: an optimized crystal structure of KSn2IO8 at the PBE-GGA level of DFT.

Results
Formation energy without anion corrections: -0.968 eV/atom

Cell lengths 7.9966, 6.2314, 7.2935 Å; angles 90.00, 105.30, 90.00 degrees
Closest atoms and distances in Å follow each position.
Space group C2/m (No. 12)
Symmetry-distinct sites (fractional):
K1 0.0000 0.0000 0.0000 [2 per cell]  6 O 2.65-2.68
Sn1 0.0571 0.5000 0.2234 [4 per cell]  5 O 2.02-2.07
I1 0.0000 0.0000 0.5000 [2 per cell]  6 O 1.90-1.92
O1 0.0321 0.2120 0.6966 [8 per cell]  1 I 1.92, 1 Sn 2.07
O2 0.1648 0.5000 0.0016 [4 per cell]  2 Sn 2.02-2.07
O3 0.2434 0.0000 0.5304 [4 per cell]  1 I 1.90, 1 Sn 2.06

***

Entry 2:
Computed, not measured: an optimized crystal structure of PmCuSi2 at the PBE-GGA level of DFT.

Results
Formation energy without anion corrections: -0.592 eV/atom

Cell lengths 13.5378, 4.0496, 10.4657 Å; angles 90.00, 90.00, 90.00 degrees
Closest atoms and distances in Å follow each position.
Space group Pnma (No. 62)
Symmetry-distinct sites (fractional):
Pm1 0.0508 0.2500 0.2483 [4 per cell]  9 Si 2.97-3.23, 3 Cu 3.10-3.23
Pm2 0.2005 0.7500 0.5245 [4 per cell]  10 Si 3.04-3.24, 3 Cu 3.07-3.24
Cu1 0.0519 0.2500 0.9523 [4 per cell]  4 Si 2.38-2.44, 2 Cu 2.66
Cu2 0.2040 0.7500 0.8173 [4 per cell]  5 Si 2.45-2.50
Si1 0.0331 0.2500 0.5394 [4 per cell]  3 Si 2.36
Si2 0.1139 0.2500 0.7392 [4 per cell]  2 Si 2.36-2.37, 3 Cu 2.38-2.50
Si3 0.1277 0.7500 0.0290 [4 per cell]  1 Si 2.40, 4 Cu 2.41-2.45
Si4 0.2110 0.7500 0.2313 [4 per cell]  2 Si 2.37-2.40, 2 Cu 2.50

***

Entry 3:
Computed, not measured: an optimized crystal structure of CsNa at the PBE-GGA level of DFT.

Results
E_form: 0.092 eV/atom

Cell lengths 4.6588, 7.8048, 7.8050 Å; angles 90.00, 90.00, 90.00 degrees
Closest atoms and distances in Å follow each position.
Space group Pmmn (No. 59, origin choice 2)
Symmetry-distinct sites (fractional):
Cs1 0.2500 0.2500 0.1464 [2 per cell]  6 Na 4.31-4.73, 2 Cs 4.66
Na1 0.2500 0.7500 0.3816 [2 per cell]  6 Cs 4.31-4.73, 2 Na 4.66

***

Entry 4:
Computed, not measured: an optimized crystal structure of KNdCuI5 at the PBE-GGA level of DFT.

Results
Formation energy without anion corrections: -1.083 eV/atom

Cell lengths 10.0597, 13.3669, 11.4790 Å; angles 90.00, 113.73, 90.00 degrees
Closest atoms and distances in Å follow each position.
Space group C2/c (No. 15)
Symmetry-distinct sites (fractional):
K1 0.0000 0.1337 0.2500 [4 per cell]  5 I 3.55-3.61
Nd1 0.0000 0.5000 0.0000 [4 per cell]  6 I 3.13-3.14
Cu1 0.0000 0.1888 0.7500 [4 per cell]  4 I 2.63-2.66
I1 0.0000 0.4041 0.2500 [4 per cell]  2 Nd 3.14
I2 0.1264 0.2962 0.6317 [8 per cell]  1 Cu 2.63
I3 0.1827 0.0757 0.9355 [8 per cell]  1 Cu 2.66

***

Entry 5:
Computed, not measured: an optimized crystal structure of ZnCdPd14 at the PBE-GGA level of DFT.

Results
E_form: -0.132 eV/atom

Cell lengths 5.6095, 5.6095, 7.8961 Å; angles 90.00, 90.00, 90.00 degrees
Closest atoms and distances in Å follow each position.
Space group P4/mmm (No. 123)
Symmetry-distinct sites (fractional):
Zn1 0.0000 0.0000 0.0000 [1 per cell]  12 Pd 2.78-2.80
Cd1 0.5000 0.5000 0.0000 [1 per cell]  12 Pd 2.80-2.81
Pd1 0.0000 0.0000 0.5000 [1 per cell]  12 Pd 2.78-2.80
Pd2 0.0000 0.5000 0.0000 [2 per cell]  8 Pd 2.79, 2 Cd 2.80, 2 Zn 2.80
Pd3 0.0000 0.5000 0.5000 [2 per cell]  12 Pd 2.80
Pd4 0.2467 0.2467 0.2492 [8 per cell]  10 Pd 2.77-2.84, 1 Zn 2.78, 1 Cd 2.81
Pd5 0.5000 0.5000 0.5000 [1 per cell]  12 Pd 2.80-2.82

***

Entry 6:
Computed, not measured: an optimized crystal structure of Ag2Sn2Rh at the PBE-GGA level of DFT.

Results
E_form: 0.067 eV/atom

Cell lengths 7.0195, 7.0195, 4.2015 Å; angles 90.00, 90.00, 90.00 degrees
Closest atoms and distances in Å follow each position.
Space group P4/mbm (No. 127)
Symmetry-distinct sites (fractional):
Ag1 0.1499 0.3501 0.0000 [4 per cell]  6 Sn 2.86-2.99, 1 Ag 2.98
Sn1 0.1539 0.6539 0.5000 [4 per cell]  2 Rh 2.66, 2 Ag 2.86
Rh1 0.0000 0.0000 0.5000 [2 per cell]  4 Sn 2.66

***

Entry 7:
Computed, not measured: an optimized crystal structure of Ce2CuSi3 at the PBE-GGA level of DFT.

Results
Formation energy without anion corrections: -0.657 eV/atom

Cell lengths 4.0984, 4.0984, 8.0442 Å; angles 90.00, 90.00, 120.00 degrees
Closest atoms and distances in Å follow each position.
Space group P-6m2 (No. 187)
Symmetry-distinct sites (fractional):
Ce1 0.0000 0.0000 0.2480 [2 per cell]  9 Si 3.09-3.12, 3 Cu 3.12
Cu1 0.3333 0.6667 0.5000 [1 per cell]  3 Si 2.37
Si1 0.3333 0.6667 0.0000 [1 per cell]  3 Si 2.37
Si2 0.6667 0.3333 0.0000 [1 per cell]  3 Si 2.37
Si3 0.6667 0.3333 0.5000 [1 per cell]  3 Cu 2.37

***

Entry 8:
Computed, not measured: an optimized crystal structure of ZnCdW at the PBE-GGA level of DFT.

Results
E_form: 0.403 eV/atom

Cell lengths 2.7723, 2.7723, 13.2968 Å; angles 90.00, 90.00, 90.00 degrees
Closest atoms and distances in Å follow each position.
Space group I4mm (No. 107)
Symmetry-distinct sites (fractional):
Zn1 0.0000 0.0000 0.0000 [2 per cell]  4 Zn 2.77, 4 W 2.80, 4 Cd 3.03
Cd1 0.0000 0.0000 0.6737 [2 per cell]  4 Cd 2.77, 4 Zn 3.03, 4 W 3.05
W1 0.0000 0.0000 0.3496 [2 per cell]  4 W 2.77, 4 Zn 2.80, 4 Cd 3.05